1.
## KAu2Br (PBE)

Data for KAu2Br after structural relaxation.

## Properties
Calculated density: 5881 kg/m³
Uncorrected energy: -2.573 eV/atom

abc: 5.243 5.243 21.078
angles: 90.00 90.00 90.00
Space group I4_1/amd (No. 141, origin choice 2)
Symmetry-distinct sites (fractional):
K (0.000, 0.250, 0.375) [4 per cell]
Au (0.000, 0.000, 0.000) [8 per cell]
Br (0.000, 0.250, 0.875) [4 per cell]

=====

2.
## MgPaMoRh (PBE)

Data for MgPaMoRh after structural relaxation.

## Properties
Energy of formation: -0.184 eV per atom
Calculated density: 10329 kg/m³
Uncorrected energy: -7.502 eV/atom

abc: 6.635 6.635 6.635
angles: 90.00 90.00 90.00
Space group F-43m (No. 216)
Symmetry-distinct sites (fractional):
Mg (0.000, 0.000, 0.000) [4 per cell]
Pa (0.000, 0.000, 0.500) [4 per cell]
Mo (0.250, 0.250, 0.750) [4 per cell]
Rh (0.250, 0.250, 0.250) [4 per cell]

=====

3.
## Tb2TmZn2 (PBE)

Data for Tb2TmZn2 after structural relaxation.

## Properties
Energy of formation: -0.206 eV per atom
Calculated density: 8277 kg/m³
Uncorrected energy: -3.462 eV/atom

abc: 4.738 6.498 8.050
angles: 90.00 90.00 90.00
Space group Immm (No. 71)
Symmetry-distinct sites (fractional):
Tb (0.000, 0.000, 0.201) [4 per cell]
Tm (0.000, 0.500, 0.000) [2 per cell]
Zn (0.000, 0.298, 0.500) [4 per cell]

=====

4.
## RbScSe2 (PBE)

Data for RbScSe2 after structural relaxation.

## Properties
Calculated density: 4856 kg/m³
Uncorrected energy: -4.464 eV/atom

abc: 7.333 7.333 7.333
angles: 90.00 90.00 90.00
Space group Fm-3m (No. 225)
Symmetry-distinct sites (fractional):
Rb (0.000, 0.000, 0.000) [4 per cell]
Sc (0.000, 0.000, 0.500) [4 per cell]
Se (0.250, 0.250, 0.250) [8 per cell]

=====

5.
## MnCdCoW2 (PBE)

Data for MnCdCoW2 after structural relaxation.

## Properties
Energy of formation: 1.692 eV per atom
Calculated density: 10873 kg/m³
Uncorrected energy: -6.927 eV/atom

abc: 4.433 4.433 4.616
angles: 90.00 90.00 90.00
Space group P4/mmm (No. 123)
Symmetry-distinct sites (fractional):
Mn (0.000, 0.000, 0.000) [1 per cell]
Cd (0.500, 0.500, 0.000) [1 per cell]
Co (0.500, 0.500, 0.500) [1 per cell]
W (0.000, 0.500, 0.500) [2 per cell]

=====

6.
## LiErLuSc (PBE)

Data for LiErLuSc after structural relaxation.

## Properties
Energy of formation: 0.165 eV per atom
Calculated density: 6327 kg/m³
Uncorrected energy: -4.167 eV/atom

abc: 7.452 7.452 7.452
angles: 90.00 90.00 90.00
Space group F-43m (No. 216)
Symmetry-distinct sites (fractional):
Li (0.000, 0.000, 0.000) [4 per cell]
Er (0.250, 0.250, 0.250) [4 per cell]
Lu (0.250, 0.250, 0.750) [4 per cell]
Sc (0.000, 0.000, 0.500) [4 per cell]